# 1
# Pu2MnTlBr8

A geometry-optimized Pu2MnTlBr8 structure (PBE, the Alexandria database).

Geometry as POSCAR:
```
Pu2MnTlBr8
1.0
-0.768 -4.644 -5.224
1.189 -5.244 4.061
-8.800 -0.572 1.811
Pu Mn Tl Br
2 1 1 8
Direct
0.500 0.500 0.759 Pu
0.500 0.500 0.241 Pu
0.000 0.000 0.000 Mn
0.000 0.000 0.500 Tl
0.159 0.770 0.206 Br
0.669 0.744 0.000 Br
0.843 0.231 0.207 Br
0.841 0.230 0.794 Br
0.331 0.256 0.000 Br
0.157 0.769 0.793 Br
0.628 0.728 0.500 Br
0.372 0.272 0.500 Br
```

Properties
Calculated volume, Å³ per atom: 35.508
Energy relative to the elements, uncorrected, eV per atom: -1.191
Total magnetization, μB per atom: 1.34
Calculated total energy, eV per cell: -67.87

=====

# 2
# TeAsS2N

A geometry-optimized TeAsS2N structure (PBE, the Alexandria database).

Geometry as POSCAR:
```
TeAsS2N
1.0
-3.275 2.403 -3.111
-1.417 -4.498 -1.984
-2.786 -0.310 2.693
As Te S N
1 1 2 1
Direct
0.500 0.500 0.500 As
0.000 0.000 0.000 Te
0.000 0.500 0.000 S
0.500 0.000 0.000 S
0.000 0.000 0.500 N
```

Properties
Calculated volume, Å³ per atom: 20.351
Energy relative to the elements, uncorrected, eV per atom: 1.149
Total magnetization, μB per atom: 0.00
Calculated total energy, eV per cell: -18.63
Polymorph energy (0 for the lowest one), eV per atom: 0.3040

=====

# 3
# GdAlZn

A geometry-optimized GdAlZn structure (PBE, the Alexandria database).

Geometry as POSCAR:
```
GdAlZn
1.0
-0.791 3.185 -3.093
0.926 -4.220 -1.295
-7.084 -1.603 0.160
Gd Al Zn
2 2 2
Direct
0.000 0.000 0.500 Gd
0.000 0.000 0.000 Gd
0.333 0.667 0.250 Al
0.667 0.333 0.750 Al
0.333 0.667 0.750 Zn
0.667 0.333 0.250 Zn
```

Properties
Calculated volume, Å³ per atom: 21.328
Calculated formation energy, eV per atom: -0.443
Total magnetization, μB per atom: 2.45
Calculated total energy, eV per cell: -40.85

=====

# 4
# NpNi2S3

A geometry-optimized NpNi2S3 structure (PBE, the Alexandria database).

Geometry as POSCAR:
```
NpNi2S3
1.0
-0.623 -0.882 -3.591
-0.169 -5.838 1.463
-9.912 1.388 1.380
Np Ni S
2 4 6
Direct
0.250 0.645 0.335 Np
0.750 0.355 0.665 Np
0.250 0.461 0.914 Ni
0.750 0.539 0.086 Ni
0.750 0.052 0.419 Ni
0.250 0.948 0.581 Ni
0.750 0.867 0.216 S
0.250 0.133 0.784 S
0.750 0.638 0.876 S
0.250 0.362 0.124 S
0.250 0.256 0.456 S
0.750 0.744 0.544 S
```

Properties
Calculated volume, Å³ per atom: 18.957
Energy relative to the elements, uncorrected, eV per atom: -0.751
Total magnetization, μB per atom: 0.33
Calculated total energy, eV per cell: -82.78
Polymorph energy (0 for the lowest one), eV per atom: 0.0000

=====

What did the fourth record say?
# NpNi2S3

A geometry-optimized NpNi2S3 structure (PBE, the Alexandria database).

Geometry as POSCAR:
```
NpNi2S3
1.0
-0.623 -0.882 -3.591
-0.169 -5.838 1.463
-9.912 1.388 1.380
Np Ni S
2 4 6
Direct
0.250 0.645 0.335 Np
0.750 0.355 0.665 Np
0.250 0.461 0.914 Ni
0.750 0.539 0.086 Ni
0.750 0.052 0.419 Ni
0.250 0.948 0.581 Ni
0.750 0.867 0.216 S
0.250 0.133 0.784 S
0.750 0.638 0.876 S
0.250 0.362 0.124 S
0.250 0.256 0.456 S
0.750 0.744 0.544 S
```

Properties
Calculated volume, Å³ per atom: 18.957
Energy relative to the elements, uncorrected, eV per atom: -0.751
Total magnetization, μB per atom: 0.33
Calculated total energy, eV per cell: -82.78
Polymorph energy (0 for the lowest one), eV per atom: 0.0000

=====

Number 2 is which compound? TeAsS2N